SmDyTe2O | PBE | optimized geometry

abc: 4.181 4.181 15.803
angles: 90.00 90.00 90.00
Element x y z (fractional)
Sm (0.250, 0.250, 0.068)
Sm (0.750, 0.750, 0.932)
Dy (0.250, 0.250, 0.631)
Dy (0.750, 0.750, 0.369)
Te (0.250, 0.250, 0.416)
Te (0.250, 0.250, 0.812)
Te (0.750, 0.750, 0.188)
Te (0.750, 0.750, 0.584)
O (0.250, 0.750, 0.000)
O (0.750, 0.250, 0.000)


Sm3DyTl2O | PBE | optimized geometry

abc: 9.006 9.006 9.006
angles: 149.96 149.29 43.50
Element x y z (fractional)
Sm (0.000, 0.000, 0.000)
Sm (0.328, 0.828, 0.500)
Sm (0.672, 0.172, 0.500)
Dy (0.500, 0.500, 0.000)
Tl (0.138, 0.638, 0.500)
Tl (0.862, 0.362, 0.500)
O (0.500, 0.000, 0.500)


Calculated values (states/eV per atom) of DOS(E_F) for the records, taken in order: 0.298, 0.402.
Calculated values (μB/cell) of size of the total moment for the records, taken in order: 0.0, 0.0.
Calculated values (kJ/mol of formula units) of formation energy from raw total energies for the records, taken in order: -995, -713.